! Na2SbHPd PBE optimized geometry; values from VASP
&SYSTEM
  ibrav = 0, nat = 5, ntyp = 4
/
ATOMIC_SPECIES
Na 22.99 Na.upf
Sb 121.76 Sb.upf
H 1.01 H.upf
Pd 106.42 Pd.upf
CELL_PARAMETERS angstrom
4.9753 0.0000 0.0000
0.0000 4.9753 0.0000
0.0000 0.0000 3.6411
ATOMIC_POSITIONS crystal
Na 0.0000 0.5000 0.0000
Na 0.5000 0.0000 0.0000
Sb 0.0000 0.0000 0.5000
H 0.5000 0.5000 0.0000
Pd 0.5000 0.5000 0.5000
! DOS(E_F) in states/eV/cell: 1.65
! Total magnetization in μB per formula unit: 0.00
! DFT total energy in eV/atom: -3.261
! Theoretical density in g/cm3: 5.07